*A*
The following is a DFT calculation (PBE) of a relaxed Ba2PbF6 crystal.

abc: 4.383 6.180 13.083
angles: 90.00 90.00 90.00
Space group Immm (No. 71)
Asymmetric unit:
Ba (0.000, 0.000, 0.165)
Pb (0.000, 0.000, 0.500)
F (0.000, 0.245, 0.338)
F (0.000, 0.262, 0.000)

## Properties
crystal system = orthorhombic
calculated density = 5.58 g/cm³

*B*
The following is a DFT calculation (PBE) of a relaxed Ba2PbF6 crystal.

abc: 7.159 7.758 8.107
angles: 90.00 123.48 90.00
Space group P2_1/c (No. 14)
Asymmetric unit:
Ba (0.154, 0.094, 0.327)
Pb (0.500, 0.000, 0.000)
F (0.174, 0.089, 0.005)
F (0.180, 0.082, 0.671)
F (0.399, 0.689, 0.951)

## Properties
crystal system = monoclinic
calculated density = 5.27 g/cm³

Result of the stability comparison: *B* is the least stable of them.

*A*
The following is a DFT calculation (PBE) of a relaxed Ba4Pb2F crystal.

abc: 5.428 5.428 19.216
angles: 90.00 90.00 90.00
Space group I4/mmm (No. 139)
Asymmetric unit:
Ba (0.000, 0.000, 0.183)
Ba (0.000, 0.500, 0.000)
Pb (0.000, 0.000, 0.369)
F (0.000, 0.000, 0.000)

## Properties
crystal system = tetragonal
calculated density = 5.77 g/cm³

*B*
The following is a DFT calculation (PBE) of a relaxed Ba4Pb2F crystal.

abc: 7.400 8.038 10.504
angles: 90.00 110.01 90.00
Space group P2_1/m (No. 11)
Asymmetric unit:
Ba (0.174, 0.250, 0.066)
Ba (0.251, 0.000, 0.731)
Ba (0.293, 0.750, 0.361)
Pb (0.203, 0.250, 0.420)
Pb (0.356, 0.750, 0.033)
F (0.073, 0.250, 0.796)

## Properties
crystal system = monoclinic
calculated density = 5.56 g/cm³

Result of the stability comparison: *B* is the least stable of them.

*A*
The following is a DFT calculation (PBE) of a relaxed Ba3PbF crystal.

abc: 6.423 7.789 7.497
angles: 90.00 93.28 90.00
Space group P2_1/m (No. 11)
Asymmetric unit:
Ba (0.235, 0.250, 0.108)
Ba (0.252, 0.005, 0.640)
Pb (0.270, 0.750, 0.164)
F (0.043, 0.250, 0.411)

## Properties
crystal system = monoclinic
calculated density = 5.66 g/cm³

*B*
The following is a DFT calculation (PBE) of a relaxed Ba3PbF crystal.

abc: 5.597 5.597 5.597
angles: 90.00 90.00 90.00
Space group Pm-3m (No. 221)
Asymmetric unit:
Ba (0.000, 0.000, 0.500)
Pb (0.500, 0.500, 0.500)
F (0.000, 0.000, 0.000)

## Properties
crystal system = cubic
calculated density = 6.04 g/cm³

Result of the stability comparison: *A* is the least stable of them.

*A*
The following is a DFT calculation (PBE) of a relaxed BaPb2F2 crystal.

abc: 5.185 5.185 10.108
angles: 90.00 90.00 90.00
Space group I4/mmm (No. 139)
Asymmetric unit:
Ba (0.000, 0.000, 0.000)
Pb (0.000, 0.000, 0.343)
F (0.000, 0.500, 0.250)

## Properties
crystal system = tetragonal
calculated density = 7.21 g/cm³

*B*
The following is a DFT calculation (PBE) of a relaxed BaPb2F2 crystal.

abc: 8.696 8.696 4.815
angles: 90.00 90.00 90.00
Space group P4/mbm (No. 127)
Asymmetric unit:
Ba (0.000, 0.000, 0.000)
Pb (0.122, 0.378, 0.000)
F (0.164, 0.336, 0.500)

## Properties
crystal system = tetragonal
calculated density = 5.38 g/cm³

Result of the stability comparison: *B* is the least stable of them.

*A*
The following is a DFT calculation (PBE) of a relaxed BaPd2F2 crystal.

abc: 3.578 3.578 16.876
angles: 90.00 90.00 90.00
Space group I4/mmm (No. 139)
Asymmetric unit:
Ba (0.000, 0.000, 0.000)
Pd (0.000, 0.500, 0.250)
F (0.000, 0.000, 0.427)

## Properties
crystal system = tetragonal
calculated density = 5.97 g/cm³

*B*
The following is a DFT calculation (PBE) of a relaxed BaPd2F2 crystal.

abc: 6.794 6.794 4.486
angles: 90.00 90.00 90.00
Space group P4/mbm (No. 127)
Asymmetric unit:
Ba (0.000, 0.000, 0.000)
Pd (0.145, 0.355, 0.500)
F (0.151, 0.349, 0.000)

## Properties
crystal system = tetragonal
calculated density = 6.22 g/cm³

Result of the stability comparison: *B* is the least stable of them.

*A*
The following is a DFT calculation (PBE) of a relaxed BaPdF3 crystal.

abc: 5.064 5.064 5.064
angles: 90.00 90.00 90.00
Space group Pm-3m (No. 221)
Asymmetric unit:
Ba (0.000, 0.000, 0.000)
Pd (0.500, 0.500, 0.500)
F (0.000, 0.000, 0.500)

## Properties
crystal system = cubic
calculated density = 3.85 g/cm³

*B*
The following is a DFT calculation (PBE) of a relaxed BaPdF3 crystal.

abc: 4.486 4.486 4.486
angles: 90.00 90.00 90.00
Space group Pm-3m (No. 221)
Asymmetric unit:
Ba (0.000, 0.000, 0.000)
Pd (0.500, 0.500, 0.500)
F (0.000, 0.500, 0.500)

## Properties
crystal system = cubic
calculated density = 5.53 g/cm³

Result of the stability comparison: *A* is the least stable of them.